This record from the Alexandria database describes a geometry-optimized Cu3PtO structure. The functional is PBE-GGA.

Calculated values
raw formation energy = -83 meV per atom
crystal system = cubic

a b c (Å): 3.9514 3.9514 3.9514
angles (deg): 90.00 90.00 90.00
Sites, in units of the cell vectors:
Pt: 0.5000 0.5000 0.5000
Cu: 0.5000 0.0000 0.0000
Cu: 0.0000 0.5000 0.0000
Cu: 0.0000 0.0000 0.5000
O: 0.0000 0.0000 0.0000